## BaNa2CuF6 (PBE)

Data for a relaxed BaNa2CuF6 crystal.

Cell: 6.1403 5.8019 9.6005 Å, 90.00 113.76 90.00°
Last column: nearest neighbours and their distance in Å.
Element x y z (fractional)
1 Ba 0.0000 0.0000 0.0000  8 F 2.65-2.82
2 Ba 0.0000 0.5000 0.5000  8 F 2.65-2.82
3 Na 0.3005 0.0031 0.7650  6 F 2.30-2.43
4 Na 0.3005 0.4969 0.2650  6 F 2.30-2.43
5 Na 0.6995 0.5031 0.7350  6 F 2.30-2.43
6 Na 0.6995 0.9969 0.2350  6 F 2.30-2.43
7 Cu 0.5000 0.0000 0.5000  4 F 1.90
8 Cu 0.5000 0.5000 0.0000  4 F 1.90
9 F 0.0067 0.2418 0.2533  2 Na 2.30-2.31
10 F 0.0067 0.2582 0.7533  2 Na 2.30-2.31
11 F 0.3817 0.7310 0.0917  1 Cu 1.90
12 F 0.3817 0.7690 0.5917  1 Cu 1.90
13 F 0.3882 0.2356 0.5928  1 Cu 1.90
14 F 0.3882 0.2644 0.0928  1 Cu 1.90
15 F 0.6118 0.7356 0.9072  1 Cu 1.90
16 F 0.6118 0.7644 0.4072  1 Cu 1.90
17 F 0.6183 0.2310 0.4083  1 Cu 1.90
18 F 0.6183 0.2690 0.9083  1 Cu 1.90
19 F 0.9933 0.7418 0.2467  2 Na 2.30-2.31
20 F 0.9933 0.7582 0.7467  2 Na 2.30-2.31

Total moment in μB per formula unit: 1.00
Uncorrected energy in eV per atom: -4.658
Symmetry: No. 14

=====

## CsCeCl4 (PBE)

Data for a relaxed CsCeCl4 crystal.

Cell: 11.2414 11.2414 8.0654 Å, 90.00 90.00 151.10°
Last column: nearest neighbours and their distance in Å.
Element x y z (fractional)
1 Cs 0.1814 0.8186 0.7500  6 Cl 3.53-3.60
2 Cs 0.8186 0.1814 0.2500  6 Cl 3.53-3.60
3 Ce 0.4104 0.5896 0.7500  6 Cl 2.70-2.81
4 Ce 0.5896 0.4104 0.2500  6 Cl 2.70-2.81
5 Cl 0.0870 0.9130 0.2500  2 Ce 2.81
6 Cl 0.3221 0.6779 0.5149  1 Ce 2.70
7 Cl 0.3221 0.6779 0.9851  1 Ce 2.70
8 Cl 0.5000 0.5000 0.0000  2 Ce 2.81
9 Cl 0.5000 0.5000 0.5000  2 Ce 2.81
10 Cl 0.6779 0.3221 0.0149  1 Ce 2.70
11 Cl 0.6779 0.3221 0.4851  1 Ce 2.70
12 Cl 0.9130 0.0870 0.7500  2 Ce 2.81

E above lowest polymorph in meV per atom: 0
Density of states at the Fermi level in states/eV per cell: 15.58
Total moment in μB per formula unit: 1.00
Uncorrected energy in eV per atom: -4.526
Symmetry: No. 63